# KReBr, relaxed, DFT GGA-PBEsol
# * calculated total energy: -13.359 eV for the cell shown
# * SG: No. 156
data_KReBr
_cell_length_a 3.069
_cell_length_b 3.069
_cell_length_c 7.520
_cell_angle_alpha 90.00
_cell_angle_beta 90.00
_cell_angle_gamma 120.00
_symmetry_space_group_name_H-M 'P 1'
_symmetry_Int_Tables_number 1
loop_
_symmetry_equiv_pos_as_xyz
'x,y,z'
loop_
_atom_site_label
_atom_site_fract_x
_atom_site_fract_y
_atom_site_fract_z
K1 0.333 0.667 0.668
Re1 0.667 0.333 0.295
Br1 0.000 0.000 0.038


# KRe2Br, relaxed, DFT GGA-PBEsol
# * calculated total energy: -23.647 eV for the cell shown
# * SG: No. 65
data_KRe2Br
_cell_length_a 2.562
_cell_length_b 5.238
_cell_length_c 7.263
_cell_angle_alpha 111.14
_cell_angle_beta 90.00
_cell_angle_gamma 90.00
_symmetry_space_group_name_H-M 'P 1'
_symmetry_Int_Tables_number 1
loop_
_symmetry_equiv_pos_as_xyz
'x,y,z'
loop_
_atom_site_label
_atom_site_fract_x
_atom_site_fract_y
_atom_site_fract_z
K1 0.500 0.500 0.000
Re1 0.000 0.000 0.500
Re2 0.000 0.500 0.500
Br1 0.500 0.000 0.000